Record 1
A plane-wave DFT calculation with PBE was carried out for Er2In2Os after structural relaxation.

Computed properties:
**Mass density**: 10.224 g/cm³
**Crystal system**: trigonal
**Raw total energy**: -5.017 eV/atom

```
data_Er2In2Os
_chemical_formula_sum 'Er2 In2 Os1'
_cell_length_a 4.707
_cell_length_b 4.707
_cell_length_c 6.385
_cell_angle_alpha 90.00
_cell_angle_beta 90.00
_cell_angle_gamma 120.00
_symmetry_space_group_name_H-M 'P 1'
_symmetry_Int_Tables_number 1
loop_
_symmetry_equiv_pos_as_xyz
'x,y,z'
loop_
_atom_site_label
_atom_site_type_symbol
_atom_site_fract_x
_atom_site_fract_y
_atom_site_fract_z
Er1 Er 0.333 0.667 0.179
Er2 Er 0.667 0.333 0.821
In1 In 0.333 0.667 0.651
In2 In 0.667 0.333 0.349
Os1 Os 0.000 0.000 0.500
```



Record 2
A plane-wave DFT calculation with PBE was carried out for Er2InOs after structural relaxation.

Computed properties:
**Mass density**: 11.546 g/cm³
**Crystal system**: tetragonal
**Raw total energy**: -6.181 eV/atom

```
data_Er2InOs
_chemical_formula_sum 'Er2 In1 Os1'
_cell_length_a 3.382
_cell_length_b 3.382
_cell_length_c 8.042
_cell_angle_alpha 90.00
_cell_angle_beta 90.00
_cell_angle_gamma 90.00
_symmetry_space_group_name_H-M 'P 1'
_symmetry_Int_Tables_number 1
loop_
_symmetry_equiv_pos_as_xyz
'x,y,z'
loop_
_atom_site_label
_atom_site_type_symbol
_atom_site_fract_x
_atom_site_fract_y
_atom_site_fract_z
Er1 Er 0.000 0.000 0.205
Er2 Er 0.000 0.000 0.795
In1 In 0.500 0.500 0.500
Os1 Os 0.500 0.500 0.000
```



Record 3
A plane-wave DFT calculation with PBE was carried out for Er2InPt4Pb after structural relaxation.

Computed properties:
**Mass density**: 14.433 g/cm³
**Crystal system**: trigonal
**Raw total energy**: -5.846 eV/atom

```
data_Er2InPt4Pb
_chemical_formula_sum 'Er2 In1 Pt4 Pb1'
_cell_length_a 4.605
_cell_length_b 4.605
_cell_length_c 9.003
_cell_angle_alpha 90.00
_cell_angle_beta 90.00
_cell_angle_gamma 120.00
_symmetry_space_group_name_H-M 'P 1'
_symmetry_Int_Tables_number 1
loop_
_symmetry_equiv_pos_as_xyz
'x,y,z'
loop_
_atom_site_label
_atom_site_type_symbol
_atom_site_fract_x
_atom_site_fract_y
_atom_site_fract_z
Er1 Er 0.333 0.667 0.247
Er2 Er 0.667 0.333 0.753
In1 In 0.000 0.000 0.000
Pt1 Pt 0.333 0.667 0.600
Pt2 Pt 0.333 0.667 0.912
Pt3 Pt 0.667 0.333 0.088
Pt4 Pt 0.667 0.333 0.400
Pb1 Pb 0.000 0.000 0.500
```



Question: raw total energy of number 3 (Er2InPt4Pb)?
Answer: -5.846 eV/atom



Question: What is the formula in the second record?
Answer: Er2InOs



What did the second record say?
A plane-wave DFT calculation with PBE was carried out for Er2InOs after structural relaxation.

Computed properties:
**Mass density**: 11.546 g/cm³
**Crystal system**: tetragonal
**Raw total energy**: -6.181 eV/atom

```
data_Er2InOs
_chemical_formula_sum 'Er2 In1 Os1'
_cell_length_a 3.382
_cell_length_b 3.382
_cell_length_c 8.042
_cell_angle_alpha 90.00
_cell_angle_beta 90.00
_cell_angle_gamma 90.00
_symmetry_space_group_name_H-M 'P 1'
_symmetry_Int_Tables_number 1
loop_
_symmetry_equiv_pos_as_xyz
'x,y,z'
loop_
_atom_site_label
_atom_site_type_symbol
_atom_site_fract_x
_atom_site_fract_y
_atom_site_fract_z
Er1 Er 0.000 0.000 0.205
Er2 Er 0.000 0.000 0.795
In1 In 0.500 0.500 0.500
Os1 Os 0.500 0.500 0.000
```



Question: The highest raw total energy belongs to which entry?
Answer: Er2In2Os